(1)
Compound: P2OsBr
Source: Alexandria
Functional: PBE-GGA
Structure: relaxed

The value obtained for the raw formation energy is 1.151 eV per atom. As for the crystal system: tetragonal. The calculated volume is 15.6 Å³/atom. The total energy comes out at -4.78 eV per atom.

The structure belongs to space group P4/mmm (No. 123); the cell edges are 4.609, 4.609 and 2.935 Å and the angles 90.00°, 90.00° and 90.00°. The inequivalent atoms are P at (0.000, 0.500, 0.000), Os at (0.000, 0.000, 0.500) and Br at (0.500, 0.500, 0.500).

(2)
Compound: P2OsBr
Source: Alexandria
Functional: PBE-GGA
Structure: relaxed

The value obtained for the raw formation energy is 0.475 eV per atom. As for the crystal system: orthorhombic. The calculated volume is 18.6 Å³/atom. The total energy comes out at -5.46 eV per atom.

The structure belongs to space group Pmm2 (No. 25); the cell edges are 3.013, 3.206 and 7.685 Å and the angles 90.00°, 90.00° and 90.00°. The inequivalent atoms are P at (0.000, 0.000, 0.000), P at (0.500, 0.500, 0.163), Os at (0.500, 0.500, 0.852) and Br at (0.000, 0.000, 0.577).